Compound: In3Au2
Source: Alexandria via LeMat-Bulk
Functional: PBE
Structure: relaxed

Unit cell a=4.0020 b=4.0020 c=26.9941 alpha=90.00 beta=90.00 gamma=120.00
Space group R-3m (No. 166, hexagonal axes)
Inequivalent atoms, fractional coordinates:
In  0.0000  0.0000  0.0000
In  0.0000  0.0000  0.2090
Au  0.0000  0.0000  0.3961

Output
Formation enthalpy at 0 K (eV/atom): -0.137
Theoretical density (g/cm3): 9.82